[1]
The following is a GGA-PBE calculation of SmPu4N5 after structural relaxation, from Alexandria.

## Properties
- space group = Immm
- energy (eV per cell) = -116.68
- ΔE_f (raw) (eV per atom) = -1.30

Structure (POSCAR):
```
SmPu4N5
1.0
-1.7507 2.4832 8.7545
1.7507 -2.4832 8.7545
1.7507 2.4832 -8.7545
Sm Pu N
1 4 5
Cartesian
0.0000 0.0000 0.0000
0.0000 0.0000 3.5176
0.0000 0.0000 7.0076
0.0000 0.0000 10.5015
0.0000 0.0000 13.9915
1.7507 0.0000 1.8761
1.7507 0.0000 5.3042
0.0000 2.4832 0.0000
0.0000 2.4832 3.4503
0.0000 2.4832 6.8785
```


[2]
The following is a GGA-PBE calculation of SmPu3N4 after structural relaxation, from Alexandria.

## Properties
- space group = Cmmm
- energy (eV per cell) = -183.07
- ΔE_f (raw) (eV per atom) = -1.31

Structure (POSCAR):
```
SmPu3N4
1.0
7.0157 0.0000 0.0000
0.0000 9.9203 0.0000
0.0000 0.0000 3.5063
Sm Pu N
2 6 8
Cartesian
0.0000 0.0000 0.0000
3.5079 4.9602 0.0000
0.0000 4.9602 0.0000
1.7539 2.4801 1.7531
1.7539 7.4403 1.7531
3.5079 0.0000 0.0000
5.2618 2.4801 1.7531
5.2618 7.4403 1.7531
0.0000 2.5497 0.0000
0.0000 7.3707 0.0000
1.6604 4.9602 1.7531
1.8475 0.0000 1.7531
3.5079 2.4105 0.0000
3.5079 7.5099 0.0000
5.1682 0.0000 1.7531
5.3553 4.9602 1.7531
```


[3]
The following is a GGA-PBE calculation of Sm4PuN4 after structural relaxation, from Alexandria.

## Properties
- space group = I-42m
- energy (eV per cell) = -73.20
- ΔE_f (raw) (eV per atom) = -0.74

Structure (POSCAR):
```
Sm4PuN4
1.0
-2.8774 2.8774 5.6039
2.8774 -2.8774 5.6039
2.8774 2.8774 -5.6039
Sm Pu N
4 1 4
Cartesian
2.8774 0.0000 0.0000
0.0000 0.0000 2.4785
0.0000 2.8774 0.0000
0.0000 0.0000 8.7293
0.0000 0.0000 5.6039
1.3667 -1.3667 4.2023
1.5107 1.5107 1.4016
-1.3667 1.3667 4.2023
1.3667 1.3667 7.0055
```


[4]
The following is a GGA-PBE calculation of SmPuN2 after structural relaxation, from Alexandria.

## Properties
- space group = P6_3/mmc
- energy (eV per cell) = -82.26
- ΔE_f (raw) (eV per atom) = -1.36

Structure (POSCAR):
```
SmPuN2
1.0
3.5147 0.0000 0.0000
-1.7574 3.0438 0.0000
0.0000 0.0000 11.5450
Sm Pu N
2 2 4
Cartesian
0.0000 2.0292 2.8862
1.7574 1.0146 8.6587
0.0000 0.0000 0.0000
0.0000 0.0000 5.7725
0.0000 2.0292 7.0739
0.0000 2.0292 10.2436
1.7574 1.0146 1.3014
1.7574 1.0146 4.4711
```


[5]
The following is a GGA-PBE calculation of Sm2PuN3 after structural relaxation, from Alexandria.

## Properties
- space group = Immm
- energy (eV per cell) = -114.37
- ΔE_f (raw) (eV per atom) = -1.41

Structure (POSCAR):
```
Sm2PuN3
1.0
3.5467 0.0000 0.0000
0.0000 5.0187 0.0000
0.0000 0.0000 10.6034
Sm Pu N
4 2 6
Cartesian
0.0000 0.0000 1.7579
0.0000 0.0000 8.8455
1.7734 2.5093 3.5438
1.7734 2.5093 7.0596
0.0000 0.0000 5.3017
1.7734 2.5093 0.0000
0.0000 2.5093 1.6177
0.0000 2.5093 5.3017
0.0000 2.5093 8.9858
1.7734 0.0000 0.0000
1.7734 0.0000 3.6841
1.7734 0.0000 6.9194
```


[6]
The following is a GGA-PBE calculation of Sm2Pu3N4 after structural relaxation, from Alexandria.

## Properties
- space group = C2/m
- energy (eV per cell) = -95.96
- ΔE_f (raw) (eV per atom) = -1.14

Structure (POSCAR):
```
Sm2Pu3N4
1.0
5.8789 -1.7649 0.0000
5.8789 1.7649 0.0000
-4.3529 0.0000 7.5228
Sm Pu N
2 3 4
Cartesian
-0.4554 0.0000 2.9218
7.8603 0.0000 4.6010
2.6504 0.0000 1.4466
5.8789 0.0000 0.0000
4.7545 0.0000 6.0762
-2.7130 0.0000 6.8923
0.4416 0.0000 5.3019
6.9633 0.0000 2.2210
10.1179 0.0000 0.6305
```


[7]
The following is a GGA-PBE calculation of Sm2PuN after structural relaxation, from Alexandria.

## Properties
- space group = P4/mmm
- energy (eV per cell) = -32.50
- ΔE_f (raw) (eV per atom) = -0.10

Structure (POSCAR):
```
Sm2PuN
1.0
3.1690 0.0000 0.0000
0.0000 3.1690 0.0000
0.0000 0.0000 8.8908
Sm Pu N
2 1 1
Cartesian
0.0000 0.0000 1.4528
0.0000 0.0000 7.4380
1.5845 1.5845 4.4454
1.5845 1.5845 0.0000
```


[8]
The following is a GGA-PBE calculation of Sm2PuSnN after structural relaxation, from Alexandria.

## Properties
- space group = P4/mmm
- energy (eV per cell) = -40.64
- ΔE_f (raw) (eV per atom) = -0.91

Structure (POSCAR):
```
Sm2PuSnN
1.0
4.9859 0.0000 0.0000
0.0000 4.9859 0.0000
0.0000 0.0000 4.7365
Sm Pu Sn N
2 1 1 1
Cartesian
0.0000 2.4930 0.0000
2.4930 0.0000 0.0000
0.0000 0.0000 2.3683
2.4930 2.4930 2.3683
0.0000 0.0000 0.0000
```


[9]
The following is a GGA-PBE calculation of Sm2PuSnN5 after structural relaxation, from Alexandria.

## Properties
- space group = Cmc2_1
- energy (eV per cell) = -153.95
- ΔE_f (raw) (eV per atom) = -0.84

Structure (POSCAR):
```
Sm2PuSnN5
1.0
1.7354 -7.0930 0.0000
1.7354 7.0930 0.0000
0.0000 0.0000 10.5518
Sm Pu Sn N
4 2 2 10
Cartesian
1.7354 5.5350 5.2759
1.7354 5.2179 1.0217
1.7354 -5.2179 6.2976
1.7354 -5.5350 0.0000
1.7354 4.0245 8.5988
1.7354 -4.0245 3.3230
1.7354 0.2929 2.8954
1.7354 -0.2929 8.1712
1.7354 6.2718 9.1872
1.7354 3.1169 4.7472
1.7354 2.7644 1.9274
1.7354 1.8476 8.5633
1.7354 0.0695 6.1350
1.7354 -0.0695 0.8591
1.7354 -1.8476 3.2874
1.7354 -2.7644 7.2032
1.7354 -3.1169 10.0230
1.7354 -6.2718 3.9113
```


[10]
The following is a GGA-PBE calculation of SrSmPuN3 after structural relaxation, from Alexandria.

## Properties
- space group = P2_1/m
- energy (eV per cell) = -100.84
- ΔE_f (raw) (eV per atom) = -0.78

Structure (POSCAR):
```
SrSmPuN3
1.0
7.7260 0.0000 0.0000
0.0000 3.6535 0.0000
-1.5052 0.0000 8.4836
Sr Sm Pu N
2 2 2 6
Cartesian
1.1296 0.9134 1.2299
5.0911 2.7402 7.2537
1.7065 2.7402 7.1560
4.5143 0.9134 1.3276
-0.4847 0.9134 5.0094
6.7054 2.7402 3.4742
-0.4751 0.9134 6.9883
0.7395 2.7402 4.8656
2.9835 2.7402 0.9986
3.2373 0.9134 7.4850
5.4813 0.9134 3.6180
6.6959 2.7402 1.4953
```


[11]
The following is a GGA-PBE calculation of SrSm2PuN4 after structural relaxation, from Alexandria.

## Properties
- space group = Imma
- energy (eV per cell) = -136.38
- ΔE_f (raw) (eV per atom) = -1.18

Structure (POSCAR):
```
SrSm2PuN4
1.0
-3.5865 3.6176 5.0373
3.5865 -3.6176 5.0373
3.5865 3.6176 -5.0373
Sr Sm Pu N
2 4 2 8
Cartesian
-1.7932 1.8088 2.5187
1.7932 1.8088 2.5187
0.0000 0.0000 0.0000
1.7932 1.8088 -2.5187
1.7932 -1.8088 2.5187
0.0000 3.6176 0.0000
3.5865 0.0000 0.0000
0.0000 0.0000 5.0373
3.5865 -0.1046 2.2320
1.8086 1.8088 -0.0683
5.3643 1.8088 -0.0683
3.5865 3.5130 -2.2320
0.0000 0.1046 7.2693
-1.7778 1.8088 5.1056
1.7778 1.8088 5.1056
0.0000 3.7222 2.8053
```


[12]
The following is a GGA-PBE calculation of Sm3Pu2TaN6 after structural relaxation, from Alexandria.

## Properties
- space group = C2/m
- energy (eV per cell) = -121.00
- ΔE_f (raw) (eV per atom) = -1.36

Structure (POSCAR):
```
Sm3Pu2TaN6
1.0
2.9832 -5.1598 0.0000
2.9832 5.1598 0.0000
-1.9785 0.0000 5.6485
Sm Pu Ta N
3 2 1 6
Cartesian
0.0000 0.0000 0.0000
2.9832 1.7172 0.0000
2.9832 -1.7172 0.0000
1.9940 3.4422 2.8243
1.9940 -3.4422 2.8243
1.9940 0.0000 2.8243
1.0589 1.6110 1.5977
0.1287 0.0000 4.0845
1.0589 -1.6110 1.5977
2.9291 1.6110 4.0508
3.8593 0.0000 1.5640
2.9291 -1.6110 4.0508
```


[13]
The following is a GGA-PBE calculation of SmPuTaN3 after structural relaxation, from Alexandria.

## Properties
- space group = P2_1/m
- energy (eV per cell) = -125.00
- ΔE_f (raw) (eV per atom) = -1.10

Structure (POSCAR):
```
SmPuTaN3
1.0
5.8941 0.0000 0.0000
0.0000 3.2511 0.0000
-2.2760 0.0000 8.8546
Sm Pu Ta N
2 2 2 6
Cartesian
-0.5453 0.8128 2.6930
4.1634 2.4383 6.1616
2.2739 0.8128 0.5698
1.3442 2.4383 8.2848
1.2285 0.8128 5.5452
2.3896 2.4383 3.3094
1.0268 2.4383 1.5912
0.3920 2.4383 4.4868
-0.1417 0.8128 7.0101
3.7599 2.4383 1.8445
3.2262 0.8128 4.3678
2.5913 0.8128 7.2634
```


[14]
The following is a GGA-PBE calculation of Sm2PuTcN5 after structural relaxation, from Alexandria.

## Properties
- space group = Cmc2_1
- energy (eV per cell) = -168.93
- ΔE_f (raw) (eV per atom) = -0.97

Structure (POSCAR):
```
Sm2PuTcN5
1.0
1.7251 -6.8886 0.0000
1.7251 6.8886 0.0000
0.0000 0.0000 10.3461
Sm Pu Tc N
4 2 2 10
Cartesian
1.7251 5.3915 5.1730
1.7251 4.9640 1.2356
1.7251 -4.9640 6.4086
1.7251 -5.3915 0.0000
1.7251 4.0235 8.5310
1.7251 -4.0235 3.3579
1.7251 0.3165 2.8080
1.7251 -0.3165 7.9811
1.7251 6.3259 8.8320
1.7251 2.9868 4.8254
1.7251 2.4389 1.9940
1.7251 1.8017 8.4243
1.7251 0.1489 6.1520
1.7251 -0.1489 0.9790
1.7251 -1.8017 3.2513
1.7251 -2.4389 7.1670
1.7251 -2.9868 9.9984
1.7251 -6.3259 3.6590
```


[15]
The following is a GGA-PBE calculation of SmPu2TcN4 after structural relaxation, from Alexandria.

## Properties
- space group = Cmcm
- energy (eV per cell) = -169.58
- ΔE_f (raw) (eV per atom) = -0.97

Structure (POSCAR):
```
SmPu2TcN4
1.0
1.6750 -5.8861 0.0000
1.6750 5.8861 0.0000
0.0000 0.0000 11.5416
Sm Pu Tc N
2 4 2 8
Cartesian
1.6750 4.5288 8.6562
1.6750 -4.5288 2.8854
1.6750 1.5462 6.3315
1.6750 1.5462 10.9810
1.6750 -1.5462 0.5607
1.6750 -1.5462 5.2101
1.6750 4.1673 2.8854
1.6750 -4.1673 8.6562
0.0000 0.0000 0.0000
0.0000 0.0000 5.7708
1.6750 2.7385 1.3970
1.6750 2.7385 4.3738
1.6750 0.4483 8.6562
1.6750 -0.4483 2.8854
1.6750 -2.7385 7.1678
1.6750 -2.7385 10.1446
```


[16]
The following is a GGA-PBE calculation of SmPuTe2N after structural relaxation, from Alexandria.

## Properties
- space group = P4/nmm
- energy (eV per cell) = -79.53
- ΔE_f (raw) (eV per atom) = -1.22

Structure (POSCAR):
```
SmPuTe2N
1.0
4.0808 0.0000 0.0000
0.0000 4.0808 0.0000
0.0000 0.0000 16.3169
Sm Pu Te N
2 2 4 2
Cartesian
1.0202 1.0202 2.3471
3.0606 3.0606 13.9698
1.0202 1.0202 9.1960
3.0606 3.0606 7.1209
1.0202 1.0202 5.3114
1.0202 1.0202 15.0051
3.0606 3.0606 1.3118
3.0606 3.0606 11.0056
1.0202 3.0606 8.1585
3.0606 1.0202 8.1585
```


[17]
The following is a GGA-PBE calculation of Sm2PuTe2N2 after structural relaxation, from Alexandria.

## Properties
- space group = I4/mmm
- energy (eV per cell) = -111.35
- ΔE_f (raw) (eV per atom) = -1.28

Structure (POSCAR):
```
Sm2PuTe2N2
1.0
4.3514 0.0000 0.0000
0.0000 4.3514 0.0000
0.0000 0.0000 16.5477
Sm Pu Te N
4 2 4 4
Cartesian
0.0000 0.0000 1.7693
0.0000 0.0000 14.7785
2.1757 2.1757 6.5046
2.1757 2.1757 10.0431
0.0000 0.0000 8.2739
2.1757 2.1757 0.0000
0.0000 0.0000 5.2239
0.0000 0.0000 11.3238
2.1757 2.1757 3.0500
2.1757 2.1757 13.4978
0.0000 2.1757 0.0000
0.0000 2.1757 8.2739
2.1757 0.0000 0.0000
2.1757 0.0000 8.2739
```


[18]
The following is a GGA-PBE calculation of SmPu2ThN4 after structural relaxation, from Alexandria.

## Properties
- space group = P2/m
- energy (eV per cell) = -85.25
- ΔE_f (raw) (eV per atom) = -1.39

Structure (POSCAR):
```
SmPu2ThN4
1.0
6.1261 0.0000 0.0000
0.0000 3.5661 0.0000
-2.0698 0.0000 5.8111
Sm Pu Th N
1 2 1 4
Cartesian
0.0000 0.0000 0.0000
2.0282 0.0000 2.9056
3.0630 1.7831 0.0000
-1.0349 1.7831 2.9056
0.0487 0.0000 4.3756
1.1013 1.7831 1.4988
2.9550 1.7831 4.3123
4.0076 0.0000 1.4355
```


[19]
The following is a GGA-PBE calculation of Sm3PuTh2N6 after structural relaxation, from Alexandria.

## Properties
- space group = C2/m
- energy (eV per cell) = -111.14
- ΔE_f (raw) (eV per atom) = -1.49

Structure (POSCAR):
```
Sm3PuTh2N6
1.0
3.1207 -5.4056 0.0000
3.1207 5.4056 0.0000
-2.0848 0.0000 5.8797
Sm Pu Th N
3 1 2 6
Cartesian
0.0000 0.0000 0.0000
3.1207 1.7857 0.0000
3.1207 -1.7857 0.0000
2.0783 0.0000 2.9398
2.0783 3.6023 2.9398
2.0783 -3.6023 2.9398
1.0502 1.7831 1.5249
0.0105 0.0000 4.3654
1.0502 -1.7831 1.5249
3.1064 1.7831 4.3548
4.1461 0.0000 1.5143
3.1064 -1.7831 4.3548
```


[20]
The following is a GGA-PBE calculation of Sm2PuThN4 after structural relaxation, from Alexandria.

## Properties
- space group = P2/m
- energy (eV per cell) = -76.16
- ΔE_f (raw) (eV per atom) = -1.46

Structure (POSCAR):
```
Sm2PuThN4
1.0
6.2035 0.0000 0.0000
0.0000 3.5896 0.0000
-2.0930 0.0000 5.8474
Sm Pu Th N
2 1 1 4
Cartesian
0.0000 0.0000 0.0000
3.1018 1.7948 0.0000
-1.0465 1.7948 2.9237
2.0553 0.0000 2.9237
-0.0602 0.0000 4.2986
1.0202 1.7948 1.5072
3.0904 1.7948 4.3403
4.1708 0.0000 1.5488
```


[21]
The following is a GGA-PBE calculation of Sm4PuTh3N8 after structural relaxation, from Alexandria.

## Properties
- space group = R-3m
- energy (eV per cell) = -146.24
- ΔE_f (raw) (eV per atom) = -1.51

Structure (POSCAR):
```
Sm4PuTh3N8
1.0
3.6113 2.0850 5.8841
-3.6113 2.0850 5.8841
0.0000 -4.1700 5.8841
Sm Pu Th N
4 1 3 8
Cartesian
0.0000 0.0000 0.0000
-1.8056 -1.0425 5.8841
-1.8056 1.0425 11.7682
0.0000 2.0850 5.8841
0.0000 0.0000 8.8261
-3.6113 0.0000 8.8261
-1.8056 1.0425 2.9420
1.8056 1.0425 2.9420
0.0000 0.0000 4.3683
-1.7922 -1.0347 10.2432
0.0000 -2.0694 7.4091
-1.7922 1.0347 7.4091
1.7922 -1.0347 10.2432
0.0000 2.0694 10.2432
1.7922 1.0347 7.4091
0.0000 0.0000 13.2840
```


[22]
The following is a GGA-PBE calculation of SmPuTiN3 after structural relaxation, from Alexandria.

## Properties
- space group = P2_1/m
- energy (eV per cell) = -118.28
- ΔE_f (raw) (eV per atom) = -1.20

Structure (POSCAR):
```
SmPuTiN3
1.0
7.1579 0.0000 0.0000
0.0000 3.5329 0.0000
-0.7556 0.0000 7.6977
Sm Pu Ti N
2 2 2 6
Cartesian
0.9978 0.8832 1.2351
5.4045 2.6496 6.4626
2.0388 2.6496 6.4103
4.3636 0.8832 1.2875
0.3250 0.8832 4.5958
6.0773 2.6496 3.1020
0.1438 0.8832 6.5458
0.8031 2.6496 3.8663
2.8069 2.6496 0.9403
3.5954 0.8832 6.7575
5.5992 0.8832 3.8314
6.2585 2.6496 1.1519
```